1.
Below is a relaxed BaLaSe2 crystal, with properties calculated at the PBE level.

a b c (Å): 9.4601 9.4601 9.4601
angles (deg): 29.49 29.49 29.49
With the nearest neighbours (Å) after each atom.
Positions (direct):
1 Ba 0.0000 0.0000 0.0000  6 Se 3.29
2 La 0.5000 0.5000 0.5000  2 Se 2.76
3 Se 0.3981 0.3981 0.3981  1 La 2.76
4 Se 0.6019 0.6019 0.6019  1 La 2.76

Formation energy without anion corrections = -1363 meV/atom
Electronic total energy = -4.8178 eV/atom
Symmetry = R-3m, No. 166
Offset from the most stable computed form = 629 meV/atom

***

2.
Below is a relaxed KCuMo2 crystal, with properties calculated at the PBE level.

a b c (Å): 5.9909 5.9909 2.5836
angles (deg): 90.00 90.00 127.05
With the nearest neighbours (Å) after each atom.
Positions (direct):
1 K 0.0000 0.0000 0.0000  2 K 2.58, 2 Cu 2.67
2 Cu 0.5000 0.5000 0.0000  2 Cu 2.58, 2 K 2.67
3 Mo 0.0000 0.5000 0.5000  4 Mo 2.58-2.67
4 Mo 0.5000 0.0000 0.5000  4 Mo 2.58-2.67

Electronic total energy = -5.4539 eV/atom
Energy of formation from the pure elements = 1.260 eV per atom
Symmetry = Cmmm, No. 65
Offset from the most stable computed form = 578 meV/atom

***

3.
Below is a relaxed LiCrRu2 crystal, with properties calculated at the PBE level.

a b c (Å): 8.8583 8.8583 8.8583
angles (deg): 17.32 17.32 17.32
With the nearest neighbours (Å) after each atom.
Positions (direct):
1 Li 0.0000 0.0000 0.0000  6 Li 2.67, 6 Ru 2.78
2 Cr 0.5000 0.5000 0.5000  6 Ru 2.56, 6 Cr 2.67
3 Ru 0.2448 0.2448 0.2448  3 Cr 2.56, 6 Ru 2.67, 3 Li 2.78
4 Ru 0.7552 0.7552 0.7552  3 Cr 2.56, 6 Ru 2.67, 3 Li 2.78

Electronic total energy = -7.4293 eV/atom
Energy of formation from the pure elements = 0.093 eV per atom
Symmetry = R-3m, No. 166
Offset from the most stable computed form = 16 meV/atom

***

4.
Below is a relaxed NaLi3F4 crystal, with properties calculated at the PBE level.

a b c (Å): 6.5968 5.6667 5.0785
angles (deg): 90.00 90.00 90.00
With the nearest neighbours (Å) after each atom.
Positions (direct):
1 Na 0.0000 0.1629 0.0000  4 F 2.18-2.28
2 Na 0.5000 0.8371 0.5000  4 F 2.18-2.28
3 Li 0.0000 0.8149 0.4861  4 F 1.87-1.95
4 Li 0.2482 0.3393 0.4882  4 F 1.89-1.97
5 Li 0.2518 0.6607 0.9882  4 F 1.89-1.97
6 Li 0.5000 0.1851 0.9861  4 F 1.87-1.95
7 Li 0.7482 0.6607 0.9882  4 F 1.89-1.97
8 Li 0.7518 0.3393 0.4882  4 F 1.89-1.97
9 F 0.0000 0.1537 0.5510  3 Li 1.95-1.97
10 F 0.0000 0.7884 0.1133  3 Li 1.90-1.92
11 F 0.2249 0.6505 0.6170  3 Li 1.87-1.89
12 F 0.2751 0.3495 0.1170  3 Li 1.87-1.89
13 F 0.5000 0.2116 0.6133  3 Li 1.90-1.92
14 F 0.5000 0.8463 0.0510  3 Li 1.95-1.97
15 F 0.7249 0.3495 0.1170  3 Li 1.87-1.89
16 F 0.7751 0.6505 0.6170  3 Li 1.87-1.89

Formation energy without anion corrections = -2866 meV/atom
Electronic total energy = -4.6844 eV/atom
Symmetry = Pmn2_1, No. 31
Offset from the most stable computed form = 0 meV/atom